1.
This record from Alexandria via LeMat-Bulk describes TaCo2Rh after structural relaxation. The functional is PBE-GGA.

The calculation puts the energy above the most stable polymorph in this dataset at 0.98 eV per formula unit. For the formation energy, the calculation gives -0.4 eV/f.u.

```
TaCo2Rh
1.0
4.0270 0.0000 0.0000
0.0000 2.7128 0.0463
0.0000 1.2647 4.9497
Rh Co Ta
1 2 1
direct
0.0000 0.4540 0.4696
0.5000 0.0655 0.2471
0.0000 0.1806 0.0113
0.5000 0.8000 0.7719
```


2.
This record from Alexandria via LeMat-Bulk describes TbInHg after structural relaxation. The functional is PBE-GGA.

For the formation energy, the calculation gives -1.3 eV/f.u.

```
TbInHg
1.0
-2.7066 -2.4102 0.2495
2.0607 -2.6805 -3.5395
1.1628 -0.8210 4.6833
Hg In Tb
1 1 1
direct
0.1871 0.3333 0.6667
0.1495 0.0000 0.0000
0.6635 0.6667 0.3333
```


3.
This record from Alexandria via LeMat-Bulk describes Be4CoNi after structural relaxation. The functional is PBE-GGA.

The calculation puts the energy above the most stable polymorph in this dataset at 0.00 eV per formula unit. For the formation energy, the calculation gives -1.7 eV/f.u.

```
Be4CoNi
1.0
-0.9065 3.8182 1.3212
-3.9454 1.2418 0.1931
-1.8230 0.5396 3.6785
Be Ni Co
4 1 1
direct
0.6248 0.1256 0.6248
0.6248 0.6248 0.1256
0.6248 0.6248 0.6248
0.1256 0.6248 0.6248
0.0000 0.0000 0.0000
0.2500 0.2500 0.2500
```


4.
This record from Alexandria via LeMat-Bulk describes Nd8P6S after structural relaxation. The functional is PBE-GGA.

Its uncorrected formation energy is -1.219 eV/atom.

```
Nd8P6S
1.0
-0.1081 -4.2538 0.7984
-0.4924 -1.9258 -10.3272
9.3412 0.6609 4.7863
Nd S P
8 1 6
direct
0.2600 0.3077 0.3402
0.7400 0.3402 0.0325
0.2532 0.6667 0.3333
0.2600 0.0325 0.6923
0.7468 0.3333 0.6667
0.7400 0.6923 0.6598
0.7400 0.9675 0.3077
0.2600 0.6598 0.9675
0.5000 0.0000 0.0000
0.2425 0.3430 0.8664
0.7575 0.4765 0.3430
0.7575 0.6570 0.1336
0.7575 0.8664 0.5235
0.2425 0.1336 0.4765
0.2425 0.5235 0.6570
```


5.
This record from Alexandria via LeMat-Bulk describes Li7TbAg4 after structural relaxation. The functional is PBE-GGA.

For the formation energy, the calculation gives 0.2 eV/f.u.

```
Li7TbAg4
1.0
-1.1250 -3.5934 -3.1742
6.3783 -2.3405 -3.4315
1.4069 -6.2553 2.7625
Li Ag Tb
7 4 1
direct
0.9402 0.4076 0.7119
0.3144 0.6293 0.7419
0.6856 0.3707 0.2581
0.5000 0.0000 0.0000
0.7793 0.8745 0.5669
0.0598 0.5924 0.2881
0.2207 0.1255 0.4331
0.4387 0.7767 0.3460
0.6909 0.6587 0.9595
0.5613 0.2233 0.6540
0.3091 0.3413 0.0405
0.0000 0.0000 0.0000
```


6.
This record from Alexandria via LeMat-Bulk describes SiAuC3 after structural relaxation. The functional is PBE-GGA.

The calculation puts the energy above the most stable polymorph in this dataset at 5.77 eV per formula unit. Its uncorrected formation energy is 3.252 eV/atom.

```
SiAuC3
1.0
4.1377 0.0000 0.0000
0.0000 4.1377 0.0000
0.0000 0.0000 4.1377
C Si Au
3 1 1
direct
0.0000 0.5000 0.0000
0.5000 0.0000 0.0000
0.0000 0.0000 0.5000
0.5000 0.5000 0.5000
0.0000 0.0000 0.0000
```


7.
This record from Alexandria via LeMat-Bulk describes TlGaP2 after structural relaxation. The functional is PBE-GGA.

The calculation puts the energy above the most stable polymorph in this dataset at 0.00 eV per formula unit. For the formation energy, the calculation gives -0.3 eV/f.u.

```
TlGaP2
1.0
5.8117 0.0000 0.0000
0.0000 5.8117 0.0000
2.9058 2.9058 5.7405
Ga P Tl
2 4 2
direct
0.5000 0.5000 0.0000
0.2500 0.7500 0.5000
0.5901 0.1250 0.2500
0.1599 0.6250 0.2500
0.8750 0.8401 0.7500
0.3750 0.4099 0.7500
0.7500 0.2500 0.5000
0.0000 0.0000 0.0000
```


8.
This record from Alexandria via LeMat-Bulk describes Nd3Sm8Ho after structural relaxation. The functional is PBE-GGA.

For the formation energy, the calculation gives 3.5 eV/f.u.

```
Nd3Sm8Ho
1.0
-4.2869 -0.5043 7.6522
-2.2435 0.0899 -8.4940
3.8300 -7.9069 0.0339
Sm Nd Ho
8 3 1
direct
0.8345 0.7509 0.5854
0.1655 0.2491 0.4146
0.8345 0.2491 0.0836
0.5026 0.7455 0.7572
0.1655 0.7509 0.9164
0.9883 0.7454 0.2428
0.4974 0.2546 0.2430
0.0117 0.2545 0.7570
0.0000 0.5000 0.5000
0.5000 0.2542 0.7542
0.5000 0.7458 0.2458
0.0000 0.0000 0.0000
```


Number 1: M_tot 2.5 μB/cell, total DFT energy (no corrections) -8.45 eV/atom. Number 2: M_tot 0.0 μB/cell, total DFT energy (no corrections) -2.98 eV/atom. Number 3: M_tot 0.0 μB/cell, total DFT energy (no corrections) -4.91 eV/atom. Number 4: M_tot 0.0 μB/cell, total DFT energy (no corrections) -6.20 eV/atom. Number 5: M_tot 0.0 μB/cell, total DFT energy (no corrections) -2.44 eV/atom. Number 6: M_tot 1.2 μB/cell, total DFT energy (no corrections) -4.02 eV/atom. Number 7: M_tot 0.0 μB/cell, total DFT energy (no corrections) -4.13 eV/atom. Number 8: M_tot 0.0 μB/cell, total DFT energy (no corrections) -4.42 eV/atom.